Entry 1:
Here is crystalline Rb3As2I8 at its relaxed geometry from the Alexandria database. Energies are from PBE.

Cell: 8.4024 8.4024 11.7586 Å, 69.07 69.07 60.00°
With the nearest neighbours (Å) after each atom.
Positions (direct):
Rb (0.0000, 0.0000, 0.0000)  6 I 4.01
Rb (0.7957, 0.7957, 0.6129)  4 I 3.64-3.95
Rb (0.2043, 0.2043, 0.3871)  4 I 3.64-3.95
As (0.5966, 0.5966, 0.2102)  4 I 2.76-2.81
As (0.4034, 0.4034, 0.7898)  4 I 2.76-2.81
I (0.6825, 0.6825, 0.9526)  1 As 2.76
I (0.3175, 0.3175, 0.0474)  1 As 2.76
I (0.2057, 0.7423, 0.3098)  1 As 2.81
I (0.7423, 0.2057, 0.3098)  1 As 2.81
I (0.7423, 0.7423, 0.3098)  1 As 2.81
I (0.2577, 0.7943, 0.6902)  1 As 2.81
I (0.7943, 0.2577, 0.6902)  1 As 2.81
I (0.2577, 0.2577, 0.6902)  1 As 2.81

**E_form (uncorrected)**: -637 meV/atom
**DFT total energy**: -32.88 eV for the cell shown
**Space-group type**: No. 166
**Volume**: 50.4 A^3/atom

---

Entry 2:
Here is crystalline Rb2As2I at its relaxed geometry from the Alexandria database. Energies are from PBE.

Cell: 9.3230 9.3230 4.6160 Å, 90.00 90.00 90.00°
With the nearest neighbours (Å) after each atom.
Positions (direct):
I (0.0000, 0.0000, 0.0000)  4 As 3.96, 8 Rb 4.07
I (0.5000, 0.5000, 0.0000)  4 As 3.96, 8 Rb 4.07
As (0.4159, 0.9159, 0.0000)  1 As 2.22
As (0.9159, 0.5841, 0.0000)  1 As 2.22
As (0.5841, 0.0841, 0.0000)  1 As 2.22
As (0.0841, 0.4159, 0.0000)  1 As 2.22
Rb (0.2046, 0.7046, 0.5000)  6 As 3.62-3.72
Rb (0.7046, 0.7954, 0.5000)  6 As 3.62-3.72
Rb (0.7954, 0.2954, 0.5000)  6 As 3.62-3.72
Rb (0.2954, 0.2046, 0.5000)  6 As 3.62-3.72

**E_form (uncorrected)**: -575 meV/atom
**DFT total energy**: -31.32 eV for the cell shown
**Space-group type**: No. 127
**Volume**: 40.1 A^3/atom

---

Entry 3:
Here is crystalline Rb2AsI6 at its relaxed geometry from the Alexandria database. Energies are from PBE.

Cell: 7.9992 7.9992 15.5327 Å, 90.00 90.00 90.00°
With the nearest neighbours (Å) after each atom.
Positions (direct):
Rb (0.0000, 0.0000, 0.3312)  6 I 3.68-3.83
Rb (0.5000, 0.5000, 0.8312)  6 I 3.68-3.83
Rb (0.5000, 0.5000, 0.1688)  6 I 3.68-3.83
Rb (0.0000, 0.0000, 0.6688)  6 I 3.68-3.83
As (0.0000, 0.0000, 0.0000)  6 I 2.86-2.88
As (0.5000, 0.5000, 0.5000)  6 I 2.86-2.88
I (0.3214, 0.3214, 0.3678)  1 As 2.88
I (0.6786, 0.6786, 0.3678)  1 As 2.88
I (0.1786, 0.8214, 0.8678)  1 As 2.88
I (0.8214, 0.1786, 0.8678)  1 As 2.88
I (0.1786, 0.8214, 0.1322)  1 As 2.88
I (0.8214, 0.1786, 0.1322)  1 As 2.88
I (0.3214, 0.3214, 0.6322)  1 As 2.88
I (0.6786, 0.6786, 0.6322)  1 As 2.88
I (0.2532, 0.2532, 0.0000)  1 As 2.86
I (0.7468, 0.7468, 0.0000)  1 As 2.86
I (0.2468, 0.7532, 0.5000)  1 As 2.86
I (0.7532, 0.2468, 0.5000)  1 As 2.86

**E_form (uncorrected)**: -620 meV/atom
**DFT total energy**: -42.94 eV for the cell shown
**Space-group type**: No. 136
**Volume**: 55.2 A^3/atom

---

Entry 4:
Here is crystalline RbReAsI2 at its relaxed geometry from the Alexandria database. Energies are from PBE.

Cell: 6.4271 4.7413 6.4271 Å, 90.00 90.00 90.00°
With the nearest neighbours (Å) after each atom.
Positions (direct):
I (0.0000, 0.0000, 0.5000)  2 As 3.21
I (0.5000, 0.0000, 0.0000)  2 As 3.21
Re (0.0000, 0.5000, 0.0000)  2 As 2.37
As (0.0000, 0.0000, 0.0000)  2 Re 2.37
Rb (0.5000, 0.5000, 0.5000)  8 I 3.99

**E_form (uncorrected)**: 381 meV/atom
**DFT total energy**: -19.26 eV for the cell shown
**Space-group type**: No. 123
**Volume**: 39.2 A^3/atom

---

Entry 5:
Here is crystalline Rb2AsRhI6 at its relaxed geometry from the Alexandria database. Energies are from PBE.

Cell: 8.0751 8.0751 8.0926 Å, 60.07 60.07 90.00°
With the nearest neighbours (Å) after each atom.
Positions (direct):
I (0.2420, 0.2420, 0.5161)  1 Rh 2.78, 1 As 2.96
I (0.7580, 0.7580, 0.4839)  1 Rh 2.78, 1 As 2.96
I (0.2422, 0.2422, 0.0000)  1 Rh 2.77, 1 As 2.94
I (0.7578, 0.7578, 0.0000)  1 Rh 2.77, 1 As 2.94
I (0.7578, 0.2422, 0.0000)  1 Rh 2.77, 1 As 2.94
I (0.2422, 0.7578, 0.0000)  1 Rh 2.77, 1 As 2.94
As (0.5000, 0.5000, 0.0000)  6 I 2.94-2.96
Rh (0.0000, 0.0000, 0.0000)  6 I 2.77-2.78
Rb (0.7500, 0.2500, 0.5000)  12 I 4.04-4.05
Rb (0.2500, 0.7500, 0.5000)  12 I 4.04-4.05

**E_form (uncorrected)**: -589 meV/atom
**DFT total energy**: -29.13 eV for the cell shown
**Space-group type**: No. 139
**Volume**: 37.4 A^3/atom

---

Entry 6:
Here is crystalline Rb2AsSI6 at its relaxed geometry from the Alexandria database. Energies are from PBE.

Cell: 8.2959 8.2959 8.2031 Å, 59.63 59.63 90.00°
With the nearest neighbours (Å) after each atom.
Positions (direct):
I (0.2519, 0.2519, 0.4961)  1 S 2.84, 1 As 2.89
I (0.7481, 0.7481, 0.5039)  1 S 2.84, 1 As 2.89
I (0.2457, 0.2457, 0.0000)  1 As 2.88, 1 S 2.98
I (0.7543, 0.7543, 0.0000)  1 As 2.88, 1 S 2.98
I (0.7543, 0.2457, 0.0000)  1 As 2.88, 1 S 2.98
I (0.2457, 0.7543, 0.0000)  1 As 2.88, 1 S 2.98
As (0.0000, 0.0000, 0.0000)  6 I 2.88-2.89
S (0.5000, 0.5000, 0.0000)  6 I 2.84-2.98
Rb (0.7500, 0.2500, 0.5000)  12 I 4.10-4.15
Rb (0.2500, 0.7500, 0.5000)  12 I 4.10-4.15

**E_form (uncorrected)**: -533 meV/atom
**DFT total energy**: -25.35 eV for the cell shown
**Space-group type**: No. 139
**Volume**: 39.5 A^3/atom

---

Entry 7:
Here is crystalline RbSbAsI2 at its relaxed geometry from the Alexandria database. Energies are from PBE.

Cell: 6.9908 6.9908 7.6724 Å, 90.00 90.00 90.00°
With the nearest neighbours (Å) after each atom.
Positions (direct):
I (0.0000, 0.5000, 0.0000)  2 Rb 3.50
I (0.5000, 0.0000, 0.0000)  2 Rb 3.50
Sb (0.0000, 0.0000, 0.5000)  2 Rb 3.84
As (0.5000, 0.5000, 0.5000)  4 Sb 4.94, 8 I 5.19
Rb (0.0000, 0.0000, 0.0000)  4 I 3.50, 2 Sb 3.84

**E_form (uncorrected)**: 783 meV/atom
**DFT total energy**: -8.92 eV for the cell shown
**Space-group type**: No. 123
**Volume**: 75.0 A^3/atom

---

Entry 8:
Here is crystalline Rb2SbAsI6 at its relaxed geometry from the Alexandria database. Energies are from PBE.

Cell: 8.4852 8.4852 8.5444 Å, 60.23 60.23 90.00°
With the nearest neighbours (Å) after each atom.
Positions (direct):
I (0.2543, 0.2543, 0.4914)  1 As 2.99, 1 Sb 3.09
I (0.7457, 0.7457, 0.5086)  1 As 2.99, 1 Sb 3.09
I (0.2552, 0.2552, 0.0000)  1 As 2.94, 1 Sb 3.06
I (0.7448, 0.7448, 0.0000)  1 As 2.94, 1 Sb 3.06
I (0.7448, 0.2552, 0.0000)  1 As 2.94, 1 Sb 3.06
I (0.2552, 0.7448, 0.0000)  1 As 2.94, 1 Sb 3.06
Sb (0.0000, 0.0000, 0.0000)  6 I 3.06-3.09
As (0.5000, 0.5000, 0.0000)  6 I 2.94-2.99
Rb (0.7500, 0.2500, 0.5000)  12 I 4.24-4.27
Rb (0.2500, 0.7500, 0.5000)  12 I 4.24-4.27

**E_form (uncorrected)**: -646 meV/atom
**DFT total energy**: -26.47 eV for the cell shown
**Space-group type**: No. 139
**Volume**: 43.8 A^3/atom

---

Entry 9:
Here is crystalline RbSbAsI2 at its relaxed geometry from the Alexandria database. Energies are from PBE.

Cell: 6.1743 6.1743 5.3500 Å, 90.00 90.00 90.00°
With the nearest neighbours (Å) after each atom.
Positions (direct):
I (0.0000, 0.5000, 0.0000)  2 As 3.09
I (0.5000, 0.0000, 0.0000)  2 As 3.09
Sb (0.0000, 0.0000, 0.5000)  2 As 2.68
As (0.0000, 0.0000, 0.0000)  2 Sb 2.68
Rb (0.5000, 0.5000, 0.5000)  8 I 4.08, 4 Sb 4.37

**E_form (uncorrected)**: -232 meV/atom
**DFT total energy**: -14.00 eV for the cell shown
**Space-group type**: No. 123
**Volume**: 40.8 A^3/atom

---

Entry 10:
Here is crystalline RbSb2AsI at its relaxed geometry from the Alexandria database. Energies are from PBE.

Cell: 8.4499 8.4499 6.8525 Å, 90.00 90.00 90.00°
With the nearest neighbours (Å) after each atom.
Positions (direct):
I (0.0000, 0.0000, 0.5000)  2 Rb 3.43
Sb (0.0000, 0.5000, 0.0000)  2 Rb 4.22
Sb (0.5000, 0.0000, 0.0000)  2 Rb 4.22
As (0.5000, 0.5000, 0.5000)  8 Sb 5.44, 4 I 5.98
Rb (0.0000, 0.0000, 0.0000)  2 I 3.43

**E_form (uncorrected)**: 1214 meV/atom
**DFT total energy**: -9.34 eV for the cell shown
**Space-group type**: No. 123
**Volume**: 97.9 A^3/atom

---

Entry 11:
Here is crystalline RbSb2AsI at its relaxed geometry from the Alexandria database. Energies are from PBE.

Cell: 5.3229 5.3229 8.7911 Å, 90.00 90.00 90.00°
With the nearest neighbours (Å) after each atom.
Positions (direct):
I (0.0000, 0.0000, 0.5000)  4 Rb 3.76
Sb (0.0000, 0.5000, 0.0000)  2 As 2.66
Sb (0.5000, 0.0000, 0.0000)  2 As 2.66
As (0.0000, 0.0000, 0.0000)  4 Sb 2.66
Rb (0.5000, 0.5000, 0.5000)  4 I 3.76

**E_form (uncorrected)**: 50 meV/atom
**DFT total energy**: -15.16 eV for the cell shown
**Space-group type**: No. 123
**Volume**: 49.8 A^3/atom

---

Entry 12:
Here is crystalline RbAsSe2I at its relaxed geometry from the Alexandria database. Energies are from PBE.

Cell: 6.7060 6.7060 6.8279 Å, 90.00 90.00 90.00°
With the nearest neighbours (Å) after each atom.
Positions (direct):
I (0.5000, 0.5000, 0.5000)  4 As 4.74, 8 Se 4.79
As (0.0000, 0.0000, 0.5000)  2 Rb 3.41
Se (0.0000, 0.5000, 0.0000)  2 Rb 3.35
Se (0.5000, 0.0000, 0.0000)  2 Rb 3.35
Rb (0.0000, 0.0000, 0.0000)  4 Se 3.35, 2 As 3.41

**E_form (uncorrected)**: 1066 meV/atom
**DFT total energy**: -8.81 eV for the cell shown
**Space-group type**: No. 123
**Volume**: 61.4 A^3/atom

---

Please write out number 12 again, unchanged.
Here is crystalline RbAsSe2I at its relaxed geometry from the Alexandria database. Energies are from PBE.

Cell: 6.7060 6.7060 6.8279 Å, 90.00 90.00 90.00°
With the nearest neighbours (Å) after each atom.
Positions (direct):
I (0.5000, 0.5000, 0.5000)  4 As 4.74, 8 Se 4.79
As (0.0000, 0.0000, 0.5000)  2 Rb 3.41
Se (0.0000, 0.5000, 0.0000)  2 Rb 3.35
Se (0.5000, 0.0000, 0.0000)  2 Rb 3.35
Rb (0.0000, 0.0000, 0.0000)  4 Se 3.35, 2 As 3.41

**E_form (uncorrected)**: 1066 meV/atom
**DFT total energy**: -8.81 eV for the cell shown
**Space-group type**: No. 123
**Volume**: 61.4 A^3/atom